An optimized crystal structure of Ac2SiN3, computed with PBE.

Properties
Distance to the lowest polymorph of the same formula = 1.27 eV per formula unit
D(E_F) = 2.3 states/eV per cell
Formation energy without anion corrections = -0.9476 eV per atom

a b c (Å): 3.879 3.960 12.720
angles (deg): 90.00 90.00 90.00
Space group Immm (No. 71)
Unique sites:
Ac1 0.000 0.000 0.144 (multiplicity 4)
Si1 0.000 0.000 0.500 (multiplicity 2)
N1 0.000 0.000 0.353 (multiplicity 4)
N2 0.000 0.500 0.500 (multiplicity 2)